CdInHg2, relaxed, DFT PBE; space-group type = Cmmm, No. 65; formation energy = 0.02 eV/atom
1.0
1.834 -2.742 0.000
1.834 2.742 0.000
0.000 0.000 10.276
Cd In Hg
1 1 2
direct
0.000 0.000 0.000
0.000 0.000 0.500
0.500 0.500 0.244
0.500 0.500 0.756